Entry 1:
Ce3DySe6: optimized geometry, PBE. Values from VASP.

Cell and atoms, written as Quantum ESPRESSO input:
```
&SYSTEM
  ibrav = 0, nat = 20, ntyp = 3
/
ATOMIC_SPECIES
Ce 140.12 Ce.upf
Dy 162.50 Dy.upf
Se 78.96 Se.upf
CELL_PARAMETERS angstrom
-1.6189 -8.1634 -1.8712
3.0707 2.5071 -7.5531
7.3786 -1.0307 4.1543
ATOMIC_POSITIONS crystal
Ce 0.1158 0.6217 0.2883
Ce 0.2883 0.1158 0.6217
Ce 0.3783 0.7117 0.8842
Ce 0.6217 0.2883 0.1158
Ce 0.7117 0.8842 0.3783
Ce 0.8842 0.3783 0.7117
Dy 0.0000 0.0000 0.0000
Dy 0.5000 0.5000 0.5000
Se 0.0479 0.6778 0.9342
Se 0.0658 0.9521 0.3222
Se 0.1834 0.4241 0.5643
Se 0.3222 0.0658 0.9521
Se 0.4241 0.5643 0.1834
Se 0.4357 0.8166 0.5759
Se 0.5643 0.1834 0.4241
Se 0.5759 0.4357 0.8166
Se 0.6778 0.9342 0.0479
Se 0.8166 0.5759 0.4357
Se 0.9342 0.0479 0.6778
Se 0.9521 0.3222 0.0658
```

Calculated values
DOS(E_F), states/eV/f.u.: 19.76
Energy relative to the lowest polymorph listed for this composition, kJ/mol of formula units: 4
Space group: R-3 (148)

Entry 2:
CeDy5Se6: optimized geometry, PBE. Values from VASP.

Cell and atoms, written as Quantum ESPRESSO input:
```
&SYSTEM
  ibrav = 0, nat = 12, ntyp = 3
/
ATOMIC_SPECIES
Se 78.96 Se.upf
Ce 140.12 Ce.upf
Dy 162.50 Dy.upf
CELL_PARAMETERS angstrom
-6.3448 -3.1526 -0.4509
5.7704 -3.8004 1.6304
-0.8593 3.5300 6.1009
ATOMIC_POSITIONS crystal
Se 0.4240 0.0849 0.2542
Se 0.9151 0.5760 0.7458
Se 0.2555 0.2555 0.7477
Se 0.7445 0.7445 0.2523
Se 0.0849 0.4240 0.2542
Se 0.5760 0.9151 0.7458
Ce 0.0000 0.0000 0.0000
Dy 0.8346 0.1654 0.5000
Dy 0.6674 0.3326 0.0000
Dy 0.5000 0.5000 0.5000
Dy 0.3326 0.6674 0.0000
Dy 0.1654 0.8346 0.5000
```

Calculated values
DOS(E_F), states/eV/f.u.: 10.27
Space group: C2/m (12)

Entry 3:
Ce2Dy3Se8: optimized geometry, PBE. Values from VASP.

Cell and atoms, written as Quantum ESPRESSO input:
```
&SYSTEM
  ibrav = 0, nat = 13, ntyp = 3
/
ATOMIC_SPECIES
Ce 140.12 Ce.upf
Dy 162.50 Dy.upf
Se 78.96 Se.upf
CELL_PARAMETERS angstrom
-0.7509 -3.8762 -5.7361
1.1806 -6.7973 4.4387
-7.1781 4.3292 0.9579
ATOMIC_POSITIONS crystal
Ce 0.3304 0.2593 0.5187
Ce 0.6696 0.7407 0.4813
Dy 0.5000 0.0000 0.0000
Dy 0.0000 0.2598 0.0000
Dy 0.0000 0.7402 0.0000
Se 0.8951 0.6116 0.2232
Se 0.1049 0.3884 0.7768
Se 0.9205 0.1163 0.2325
Se 0.0795 0.8837 0.7675
Se 0.5871 0.6422 0.7532
Se 0.5871 0.1110 0.7532
Se 0.4129 0.8890 0.2468
Se 0.4129 0.3578 0.2468
```

Calculated values
DOS(E_F), states/eV/f.u.: 10.01
Energy relative to the lowest polymorph listed for this composition, kJ/mol of formula units: 0
Space group: C2/m (12)

Entry 4:
Ce5Dy3Se8: optimized geometry, PBE. Values from VASP.

Cell and atoms, written as Quantum ESPRESSO input:
```
&SYSTEM
  ibrav = 0, nat = 16, ntyp = 3
/
ATOMIC_SPECIES
Ce 140.12 Ce.upf
Dy 162.50 Dy.upf
Se 78.96 Se.upf
CELL_PARAMETERS angstrom
7.1904 0.0000 4.1187
2.4156 6.7725 4.1187
0.0049 0.0034 8.3273
ATOMIC_POSITIONS crystal
Ce 0.5000 0.0000 0.0000
Ce 0.5000 0.5000 0.0000
Ce 0.0000 0.0000 0.0000
Ce 0.0000 0.5000 0.0000
Ce 0.5000 0.5000 0.5000
Dy 0.5000 0.0000 0.5000
Dy 0.0000 0.0000 0.5000
Dy 0.0000 0.5000 0.5000
Se 0.2501 0.2501 0.7419
Se 0.2501 0.7580 0.7419
Se 0.7580 0.2501 0.7419
Se 0.7538 0.7538 0.7385
Se 0.7499 0.7499 0.2581
Se 0.7499 0.2420 0.2581
Se 0.2420 0.7499 0.2581
Se 0.2462 0.2462 0.2615
```

Calculated values
DOS(E_F), states/eV/f.u.: 30.60
Space group: R-3m (166)

Entry 5:
CeDySe2: optimized geometry, PBE. Values from VASP.

Cell and atoms, written as Quantum ESPRESSO input:
```
&SYSTEM
  ibrav = 0, nat = 4, ntyp = 3
/
ATOMIC_SPECIES
Se 78.96 Se.upf
Ce 140.12 Ce.upf
Dy 162.50 Dy.upf
CELL_PARAMETERS angstrom
-3.9035 -1.1730 -0.5671
-0.8756 -3.0226 -2.6518
-0.9416 -5.9960 3.9523
ATOMIC_POSITIONS crystal
Se 0.2540 0.2540 0.2379
Se 0.7460 0.7460 0.7621
Ce 0.5000 0.5000 0.5000
Dy 0.0000 0.0000 0.0000
```

Calculated values
DOS(E_F), states/eV/f.u.: 6.36
Energy relative to the lowest polymorph listed for this composition, kJ/mol of formula units: 1
Space group: R-3m (166)

Entry 6:
Ce6DySe8: optimized geometry, PBE. Values from VASP.

Cell and atoms, written as Quantum ESPRESSO input:
```
&SYSTEM
  ibrav = 0, nat = 15, ntyp = 3
/
ATOMIC_SPECIES
Ce 140.12 Ce.upf
Dy 162.50 Dy.upf
Se 78.96 Se.upf
CELL_PARAMETERS angstrom
1.4293 1.4051 8.1400
7.3569 -2.1494 3.3960
5.4331 5.9410 2.3372
ATOMIC_POSITIONS crystal
Ce 0.0000 0.5000 0.5000
Ce 0.5000 0.0000 0.0000
Ce 0.5000 0.5000 0.0000
Ce 0.0000 0.0000 0.5000
Ce 0.0000 0.5000 0.0000
Ce 0.5000 0.0000 0.5000
Dy 0.0000 0.0000 0.0000
Se 0.7500 0.7500 0.7500
Se 0.2500 0.2500 0.2500
Se 0.7538 0.2462 0.2462
Se 0.2462 0.7538 0.7538
Se 0.2462 0.2462 0.7538
Se 0.7538 0.7538 0.2462
Se 0.7538 0.2462 0.7538
Se 0.2462 0.7538 0.2462
```

Calculated values
DOS(E_F), states/eV/f.u.: 37.34
Space group: Fm-3m (225)

Record order is preserved below.
Uncorrected energy: -122.1, -71.0, -76.4, -100.2, -24.7, -95.6 eV per cell
Record order is preserved below.
E_form (uncorrected): -1.774, -1.764, -1.761, -1.802, -1.798, -1.834 eV/atom